LaCrCo2 | PBE-GGA | optimized geometry

Unit cell a=4.4568 b=4.4568 c=4.4568 alpha=60.00 beta=60.00 gamma=60.00
Sites, in units of the cell vectors:
Cr 0.0000 0.0000 0.0000
La 0.5000 0.5000 0.5000
Co 0.7500 0.7500 0.7500
Co 0.2500 0.2500 0.2500

Results
Space group ... No. 225
Spin magnetization ... 0.00 μB/cell
Total DFT energy (no corrections) ... -6.5636 eV/atom

***

Mg3Ga3Rh2Au | PBE-GGA | optimized geometry

Unit cell a=3.0614 b=7.4548 c=7.4548 alpha=120.00 beta=90.00 gamma=90.00
Sites, in units of the cell vectors:
Mg 0.5000 0.2937 0.2937
Mg 0.5000 0.0000 0.7063
Mg 0.5000 0.7063 0.0000
Rh 0.5000 0.6667 0.3333
Rh 0.5000 0.3333 0.6667
Ga 0.0000 0.6184 0.6184
Ga 0.0000 0.3816 0.0000
Ga 0.0000 0.0000 0.3816
Au 0.0000 0.0000 0.0000

Results
Space group ... No. 189
Spin magnetization ... 0.00 μB/cell
Total DFT energy (no corrections) ... -3.9682 eV/atom

***

Copy entry 1 word for word.
LaCrCo2 | PBE-GGA | optimized geometry

Unit cell a=4.4568 b=4.4568 c=4.4568 alpha=60.00 beta=60.00 gamma=60.00
Sites, in units of the cell vectors:
Cr 0.0000 0.0000 0.0000
La 0.5000 0.5000 0.5000
Co 0.7500 0.7500 0.7500
Co 0.2500 0.2500 0.2500

Results
Space group ... No. 225
Spin magnetization ... 0.00 μB/cell
Total DFT energy (no corrections) ... -6.5636 eV/atom